Compound: LaNd2Sm3
Source: Alexandria
Functional: PBE-GGA
Structure: relaxed

* DFT formation energy: 301.9 meV/atom
* M_tot: 0.00 μB per formula unit
* crystal system: orthorhombic
* distance to the lowest polymorph of the same formula: 288 meV per atom

Unit cell a=3.5264 b=6.0735 c=10.5231 alpha=106.77 beta=99.65 gamma=90.00
Fractional positions:
Sm 0.1902 0.1902 0.3804
Nd 0.6403 0.6403 0.2806
La 0.0000 0.0000 0.0000
Sm 0.0000 0.5000 0.0000
Nd 0.3597 0.3597 0.7194
Sm 0.8098 0.8098 0.6196